[1]
Below is a relaxed structure of Mo2RhC2, with properties calculated at the PBE-GGA level.

Computed properties:
space-group type: No. 139
offset from the most stable computed form: 0.0 meV per atom
V: 124.0 Å³ per cell
energy of formation from the pure elements: 596 meV per atom

Cell: 3.838 3.838 8.419 Å, 90.00 90.00 90.00°
Atoms (fractional coordinates):
Mo  0.000  0.000  0.159
Mo  0.000  0.000  0.841
Mo  0.500  0.500  0.341
Mo  0.500  0.500  0.659
Rh  0.000  0.000  0.500
Rh  0.500  0.500  0.000
C  0.000  0.500  0.250
C  0.000  0.500  0.750
C  0.500  0.000  0.250
C  0.500  0.000  0.750



[2]
Below is a relaxed structure of MoRhC, with properties calculated at the PBE-GGA level.

Computed properties:
space-group type: No. 166
V: 74.6 Å³ per cell
energy of formation from the pure elements: 190 meV per atom

Cell: 9.239 9.239 9.239 Å, 19.20 19.20 19.20°
Atoms (fractional coordinates):
Mo  0.123  0.123  0.123
Mo  0.877  0.877  0.877
Rh  0.374  0.374  0.374
Rh  0.626  0.626  0.626
C  0.254  0.254  0.254
C  0.746  0.746  0.746



[3]
Below is a relaxed structure of MoRhC2, with properties calculated at the PBE-GGA level.

Computed properties:
space-group type: No. 225
offset from the most stable computed form: 534.8 meV per atom
V: 159.1 Å³ per cell
energy of formation from the pure elements: 1059 meV per atom

Cell: 5.418 5.418 5.418 Å, 90.00 90.00 90.00°
Atoms (fractional coordinates):
Mo  0.000  0.000  0.000
Mo  0.000  0.500  0.500
Mo  0.500  0.000  0.500
Mo  0.500  0.500  0.000
Rh  0.000  0.000  0.500
Rh  0.000  0.500  0.000
Rh  0.500  0.000  0.000
Rh  0.500  0.500  0.500
C  0.250  0.250  0.250
C  0.250  0.250  0.750
C  0.250  0.750  0.250
C  0.250  0.750  0.750
C  0.750  0.250  0.250
C  0.750  0.250  0.750
C  0.750  0.750  0.250
C  0.750  0.750  0.750



[4]
Below is a relaxed structure of Sr2MoRhC, with properties calculated at the PBE-GGA level.

Computed properties:
space-group type: No. 123
V: 134.6 Å³ per cell
energy of formation from the pure elements: 1164 meV per atom

Cell: 5.886 5.886 3.885 Å, 90.00 90.00 90.00°
Atoms (fractional coordinates):
Sr  0.000  0.500  0.000
Sr  0.500  0.000  0.000
Mo  0.000  0.000  0.000
Rh  0.500  0.500  0.500
C  0.000  0.000  0.500



[5]
Below is a relaxed structure of TcMo2RhC, with properties calculated at the PBE-GGA level.

Computed properties:
space-group type: No. 123
V: 68.7 Å³ per cell
energy of formation from the pure elements: 64 meV per atom

Cell: 4.131 4.131 4.028 Å, 90.00 90.00 90.00°
Atoms (fractional coordinates):
Tc  0.000  0.000  0.000
Mo  0.000  0.500  0.500
Mo  0.500  0.000  0.500
Rh  0.500  0.500  0.000
C  0.000  0.000  0.500



[6]
Below is a relaxed structure of TcMoRhC2, with properties calculated at the PBE-GGA level.

Computed properties:
space-group type: No. 123
V: 78.1 Å³ per cell
energy of formation from the pure elements: 2105 meV per atom

Cell: 3.982 3.982 4.926 Å, 90.00 90.00 90.00°
Atoms (fractional coordinates):
Tc  0.000  0.000  0.000
Mo  0.000  0.000  0.500
Rh  0.500  0.500  0.000
C  0.000  0.500  0.500
C  0.500  0.000  0.500



[7]
Below is a relaxed structure of Mo2RuC, with properties calculated at the PBE-GGA level.

Computed properties:
space-group type: No. 166
V: 157.8 Å³ per cell
energy of formation from the pure elements: 64 meV per atom

Cell: 3.002 3.002 20.221 Å, 90.00 90.00 120.00°
Atoms (fractional coordinates):
Mo  0.000  0.000  0.225
Mo  0.000  0.000  0.775
Mo  0.333  0.667  0.441
Mo  0.333  0.667  0.892
Mo  0.667  0.333  0.108
Mo  0.667  0.333  0.559
Ru  0.000  0.000  0.000
Ru  0.333  0.667  0.667
Ru  0.667  0.333  0.333
C  0.000  0.000  0.500
C  0.333  0.667  0.167
C  0.667  0.333  0.833



[8]
Below is a relaxed structure of Mo2RuC, with properties calculated at the PBE-GGA level.

Computed properties:
space-group type: No. 160
V: 156.5 Å³ per cell
energy of formation from the pure elements: 24 meV per atom

Cell: 2.977 2.977 20.385 Å, 90.00 90.00 120.00°
Atoms (fractional coordinates):
Mo  0.000  0.000  0.000
Mo  0.000  0.000  0.213
Mo  0.333  0.667  0.667
Mo  0.333  0.667  0.880
Mo  0.667  0.333  0.333
Mo  0.667  0.333  0.547
Ru  0.000  0.000  0.776
Ru  0.333  0.667  0.443
Ru  0.667  0.333  0.109
C  0.000  0.000  0.608
C  0.333  0.667  0.275
C  0.667  0.333  0.942



[9]
Below is a relaxed structure of MoRuC3, with properties calculated at the PBE-GGA level.

Computed properties:
space-group type: No. 221
offset from the most stable computed form: 0.0 meV per atom
V: 59.3 Å³ per cell
energy of formation from the pure elements: 2338 meV per atom

Cell: 3.900 3.900 3.900 Å, 90.00 90.00 90.00°
Atoms (fractional coordinates):
Mo  0.000  0.000  0.000
Ru  0.500  0.500  0.500
C  0.000  0.500  0.500
C  0.500  0.000  0.500
C  0.500  0.500  0.000



[10]
Below is a relaxed structure of Mo2RuC, with properties calculated at the PBE-GGA level.

Computed properties:
space-group type: No. 122
V: 265.1 Å³ per cell
energy of formation from the pure elements: 779 meV per atom

Cell: 5.212 5.212 9.757 Å, 90.00 90.00 90.00°
Atoms (fractional coordinates):
Mo  0.178  0.250  0.125
Mo  0.250  0.678  0.375
Mo  0.250  0.822  0.875
Mo  0.322  0.250  0.625
Mo  0.678  0.750  0.625
Mo  0.750  0.178  0.875
Mo  0.750  0.322  0.375
Mo  0.822  0.750  0.125
Ru  0.000  0.000  0.500
Ru  0.000  0.500  0.750
Ru  0.500  0.000  0.250
Ru  0.500  0.500  0.000
C  0.000  0.000  0.000
C  0.000  0.500  0.250
C  0.500  0.000  0.750
C  0.500  0.500  0.500



[11]
Below is a relaxed structure of MoRu3C, with properties calculated at the PBE-GGA level.

Computed properties:
space-group type: No. 221
offset from the most stable computed form: 2649.2 meV per atom
V: 100.3 Å³ per cell
energy of formation from the pure elements: 2938 meV per atom

Cell: 4.646 4.646 4.646 Å, 90.00 90.00 90.00°
Atoms (fractional coordinates):
Mo  0.000  0.000  0.000
Ru  0.000  0.000  0.500
Ru  0.000  0.500  0.000
Ru  0.500  0.000  0.000
C  0.500  0.500  0.500



[12]
Below is a relaxed structure of MoRu2C, with properties calculated at the PBE-GGA level.

Computed properties:
space-group type: No. 122
V: 253.2 Å³ per cell
energy of formation from the pure elements: 702 meV per atom

Cell: 5.180 5.180 9.437 Å, 90.00 90.00 90.00°
Atoms (fractional coordinates):
Mo  0.000  0.000  0.000
Mo  0.000  0.500  0.250
Mo  0.500  0.000  0.750
Mo  0.500  0.500  0.500
Ru  0.170  0.250  0.625
Ru  0.250  0.670  0.875
Ru  0.250  0.830  0.375
Ru  0.330  0.250  0.125
Ru  0.670  0.750  0.125
Ru  0.750  0.170  0.375
Ru  0.750  0.330  0.875
Ru  0.830  0.750  0.625
C  0.000  0.000  0.500
C  0.000  0.500  0.750
C  0.500  0.000  0.250
C  0.500  0.500  0.000